## CaDyP2O8 (PBE-GGA)

Data for a relaxed CaDyP2O8 crystal.

Structure (extended XYZ):
```
12
Lattice="5.364 0.000 0.000 -2.682 4.645 0.000 0.000 0.000 7.030" Properties=species:S:1:pos:R:3 pbc="T T T"
Ca 0.000 0.000 0.000
Dy 0.000 0.000 3.515
P 0.000 3.097 5.554
P 2.682 1.548 1.476
O 0.000 1.633 5.049
O -1.268 3.829 5.049
O 0.000 3.097 0.068
O 1.414 0.817 1.981
O 1.268 3.829 5.049
O 2.682 1.548 6.962
O 3.949 0.817 1.981
O 2.682 3.012 1.981
```

formation energy without anion corrections = -2.6258 eV/atom
total magnetic moment = 1.0 μB per formula unit
N(E_F) = 8.9 states/eV/cell



## Ca2DyPaO6 (PBE-GGA)

Data for a relaxed Ca2DyPaO6 crystal.

Structure (extended XYZ):
```
10
Lattice="2.942 1.698 5.063 -2.942 1.698 5.063 0.000 -3.397 5.063" Properties=species:S:1:pos:R:3 pbc="T T T"
Ca 0.000 0.000 0.000
Ca 0.000 0.000 7.548
Dy 0.000 0.000 4.235
Pa 0.000 0.000 11.887
O -1.039 -1.416 5.785
O -2.223 -0.171 8.260
O -0.707 1.608 5.785
O 1.259 -1.840 8.260
O 1.746 -0.192 5.785
O 0.964 2.011 8.260
```

formation energy without anion corrections = -3.3986 eV/atom
total magnetic moment = 0.0 μB per formula unit
N(E_F) = 0.0 states/eV/cell



## Ca2DyPbO6 (PBE-GGA)

Data for a relaxed Ca2DyPbO6 crystal.

Structure (extended XYZ):
```
20
Lattice="5.829 0.000 0.000 0.000 6.059 0.000 -5.730 0.000 8.204" Properties=species:S:1:pos:R:3 pbc="T T T"
Ca -0.090 0.345 2.049
Ca -2.954 2.685 6.151
Ca 3.054 3.374 2.053
Ca 0.189 5.714 6.155
Dy 2.914 0.000 0.000
Dy 0.050 3.029 4.102
Pb -2.865 0.000 4.102
Pb 0.000 3.029 0.000
O -4.602 1.239 7.589
O -1.738 1.790 3.487
O -3.999 4.238 7.603
O -1.134 4.850 3.501
O -2.031 0.426 6.116
O 0.834 2.604 2.014
O -0.735 3.455 6.189
O 2.130 5.633 2.087
O 1.233 1.209 4.703
O 4.098 1.820 0.601
O 1.837 4.268 4.717
O 4.702 4.819 0.615
```

formation energy without anion corrections = -2.2631 eV/atom
total magnetic moment = 1.1 μB per formula unit
N(E_F) = 13.3 states/eV/cell



## CaDyPuO6 (PBE-GGA)

Data for a relaxed CaDyPuO6 crystal.

Structure (extended XYZ):
```
18
Lattice="5.759 0.000 0.000 -2.879 4.987 0.000 0.000 0.000 9.573" Properties=species:S:1:pos:R:3 pbc="T T T"
Ca 0.000 0.000 0.000
Ca 0.000 0.000 4.787
Dy 0.000 3.325 2.393
Dy 2.879 1.662 7.180
Pu 0.000 3.325 7.180
Pu 2.879 1.662 2.393
O -0.888 1.868 6.101
O -1.705 3.285 8.259
O 0.888 1.868 8.259
O -0.818 4.822 6.101
O 2.062 0.165 1.314
O 1.174 1.703 3.472
O 1.705 3.285 6.101
O 0.818 4.822 8.259
O 3.697 0.165 3.472
O 1.992 3.119 1.314
O 4.585 1.703 1.314
O 3.767 3.119 3.472
```

formation energy without anion corrections = -2.8524 eV/atom
total magnetic moment = 1.0 μB per formula unit



## CaDyRe2O8 (PBE-GGA)

Data for a relaxed CaDyRe2O8 crystal.

Structure (extended XYZ):
```
12
Lattice="5.940 0.000 0.000 -2.970 5.144 0.000 0.000 0.000 6.750" Properties=species:S:1:pos:R:3 pbc="T T T"
Ca 0.000 0.000 0.000
Dy 0.000 0.000 3.375
Re 0.000 3.430 5.448
Re 2.970 1.715 1.302
O 0.000 1.661 4.905
O -1.532 4.314 4.905
O 1.438 0.830 1.845
O 0.000 3.430 0.473
O 2.970 1.715 6.277
O 1.532 4.314 4.905
O 4.502 0.830 1.845
O 2.970 3.484 1.845
```

formation energy without anion corrections = -2.0416 eV/atom
total magnetic moment = 3.0 μB per formula unit
N(E_F) = 7.9 states/eV/cell



## Ca2DyReO8 (PBE-GGA)

Data for a relaxed Ca2DyReO8 crystal.

Structure (extended XYZ):
```
12
Lattice="4.679 0.000 0.000 -0.057 5.279 0.000 -0.016 -0.006 6.592" Properties=species:S:1:pos:R:3 pbc="T T T"
Ca -0.058 5.278 1.741
Ca 4.663 -0.004 4.852
Dy 2.311 2.640 0.000
Re 2.303 2.637 3.296
O 1.220 1.947 1.859
O 1.217 1.938 4.725
O 1.264 4.195 3.300
O 1.606 4.910 6.592
O 2.999 0.364 0.001
O 3.341 1.078 3.292
O 3.388 3.335 1.867
O 3.385 3.326 4.733
```

formation energy without anion corrections = -2.2377 eV/atom
total magnetic moment = 0.0 μB per formula unit
N(E_F) = 0.0 states/eV/cell



## CaDy2ReO8 (PBE-GGA)

Data for a relaxed CaDy2ReO8 crystal.

Structure (extended XYZ):
```
12
Lattice="3.521 -3.569 0.000 3.521 3.569 0.000 0.000 0.000 6.946" Properties=species:S:1:pos:R:3 pbc="T T T"
Ca 0.000 0.000 0.000
Dy 3.521 0.000 1.749
Dy 3.521 0.000 5.197
Re 0.000 0.000 3.473
O 3.521 2.263 2.108
O 3.521 2.263 4.838
O 1.922 0.000 3.473
O 2.220 0.000 0.000
O 4.821 0.000 0.000
O 5.119 0.000 3.473
O 3.521 -2.263 2.108
O 3.521 -2.263 4.838
```

formation energy without anion corrections = -2.4991 eV/atom
total magnetic moment = 1.0 μB per formula unit
N(E_F) = 6.5 states/eV/cell



## CaDyRu2O8 (PBE-GGA)

Data for a relaxed CaDyRu2O8 crystal.

Structure (extended XYZ):
```
12
Lattice="5.881 0.000 0.000 -2.940 5.093 0.000 0.000 0.000 6.807" Properties=species:S:1:pos:R:3 pbc="T T T"
Ca 0.000 0.000 0.000
Dy 0.000 0.000 3.403
Ru 0.000 3.395 5.486
Ru 2.940 1.698 1.321
O 0.000 1.638 4.949
O -1.522 4.274 4.949
O 1.418 0.819 1.858
O 0.000 3.395 0.439
O 2.940 1.698 6.367
O 1.522 4.274 4.949
O 4.462 0.819 1.858
O 2.940 3.455 1.858
```

formation energy without anion corrections = -1.6268 eV/atom
total magnetic moment = 3.0 μB per formula unit
N(E_F) = 5.7 states/eV/cell



## CaDyS2O8 (PBE-GGA)

Data for a relaxed CaDyS2O8 crystal.

Structure (extended XYZ):
```
12
Lattice="5.157 0.000 0.000 -2.579 4.466 0.000 0.000 0.000 7.485" Properties=species:S:1:pos:R:3 pbc="T T T"
Ca 0.000 0.000 0.000
Dy 0.000 0.000 3.743
S 0.000 2.978 5.995
S 2.579 1.489 1.490
O 0.000 1.567 5.504
O -1.222 3.683 5.504
O 0.000 2.978 7.465
O 1.357 0.783 1.981
O 1.222 3.683 5.504
O 2.579 1.489 0.020
O 3.800 0.783 1.981
O 2.579 2.900 1.981
```

formation energy without anion corrections = -1.9827 eV/atom
total magnetic moment = 0.4 μB per formula unit
N(E_F) = 1.7 states/eV/cell



## SrCaDySbO6 (PBE-GGA)

Data for a relaxed SrCaDySbO6 crystal.

Structure (extended XYZ):
```
10
Lattice="0.000 4.177 4.177 4.177 0.000 4.177 4.177 4.177 0.000" Properties=species:S:1:pos:R:3 pbc="T T T"
Sr 0.000 0.000 0.000
Ca 4.177 4.177 4.177
Dy 2.088 2.088 2.088
Sb 6.265 6.265 6.265
O 6.265 6.265 4.280
O 6.265 4.280 6.265
O 8.250 6.265 6.265
O 4.280 6.265 6.265
O 6.265 8.250 6.265
O 6.265 6.265 8.250
```

formation energy without anion corrections = -2.5816 eV/atom
total magnetic moment = 0.0 μB per formula unit
N(E_F) = 0.0 states/eV/cell



## CaDy2SnO6 (PBE-GGA)

Data for a relaxed CaDy2SnO6 crystal.

Structure (extended XYZ):
```
10
Lattice="2.863 1.653 5.030 -2.863 1.653 5.030 0.000 -3.306 5.030" Properties=species:S:1:pos:R:3 pbc="T T T"
Ca 0.000 0.000 0.000
Dy 0.000 0.000 4.194
Dy 0.000 0.000 11.790
Sn 0.000 0.000 7.369
O -1.602 -0.025 5.929
O -1.077 -1.510 8.349
O 0.823 -1.375 5.929
O -0.769 1.688 8.349
O 0.780 1.400 5.929
O 1.846 -0.178 8.349
```

formation energy without anion corrections = -2.8782 eV/atom
total magnetic moment = 0.0 μB per formula unit
N(E_F) = 0.0 states/eV/cell